[1]
The following is a DFT calculation (PBE-GGA) of CdReMo2 after structural relaxation.

Results
Space-group type: P2/m (10)

abc: 2.731 5.124 5.638
angles: 56.57 90.00 90.00
Fractional coordinates of all 4 atoms:
Cd: 0.000 0.000 0.500
Mo: 0.000 0.000 0.000
Mo: 0.500 0.500 0.000
Re: 0.500 0.500 0.500

***

[2]
The following is a DFT calculation (PBE-GGA) of CdReMo2 after structural relaxation.

Results
Space-group type: I-42d (122)

abc: 7.406 7.406 5.910
angles: 51.20 51.20 90.00
Fractional coordinates of all 8 atoms:
Re: 0.000 0.000 0.000
Re: 0.750 0.250 0.500
Mo: 0.674 0.125 0.250
Mo: 0.076 0.625 0.250
Mo: 0.375 0.326 0.750
Mo: 0.875 0.924 0.750
Cd: 0.500 0.500 0.000
Cd: 0.250 0.750 0.500

***

Energy of formation from the pure elements, record by record: 2.171; 3.519 eV per formula unit
Calculated volume, record by record: 16.46; 18.78 Å³/atom